(1)
The following is a PBE calculation of a relaxed structure of KCaAgTe2, from Alexandria via LeMat-Bulk.

Output
The value obtained for the calculated total energy is -33.67 eV/cell. As for the total magnetization: 0.00 μB/f.u. For the uncorrected formation energy, the calculation gives -4.6 eV per formula unit. The space group is Cmme, No. 67. For the density of states at the Fermi level, the calculation gives 0.00 states/eV/f.u.

Cell and atoms, written as POSCAR:
```
KCaAgTe2
1.0
6.031 0.000 0.000
0.000 7.746 0.000
0.000 -3.873 8.192
Te Ag Ca K
4 2 2 2
Direct
0.720 0.624 0.249
0.720 0.876 0.751
0.280 0.124 0.249
0.280 0.376 0.751
0.000 0.000 0.000
0.000 0.500 0.000
0.500 0.750 0.000
0.500 0.250 0.000
0.217 0.750 0.500
0.783 0.250 0.500
```

(2)
The following is a PBE calculation of a relaxed structure of Cs2Pa3InSe8, from Alexandria via LeMat-Bulk.

Output
The value obtained for the calculated total energy is -78.31 eV/cell. As for the total magnetization: 2.03 μB/f.u. For the uncorrected formation energy, the calculation gives -17.5 eV per formula unit. The space group is R3m, No. 160. For the density of states at the Fermi level, the calculation gives 12.65 states/eV/f.u.

Cell and atoms, written as POSCAR:
```
Cs2Pa3InSe8
1.0
8.499 0.000 0.000
4.249 7.360 0.000
4.249 2.453 8.860
Cs In Se Pa
2 1 8 3
Direct
0.496 0.496 0.511
0.139 0.139 0.583
0.888 0.888 0.336
0.694 0.234 0.837
0.234 0.234 0.837
0.762 0.762 0.182
0.762 0.295 0.182
0.273 0.273 0.181
0.234 0.694 0.837
0.295 0.762 0.182
0.722 0.722 0.834
0.998 0.498 0.006
0.498 0.998 0.006
0.498 0.498 0.006
```

Question: Which of these has the highest calculated total energy?
Answer: KCaAgTe2

Question: Among the records above, which one has the highest calculated total energy?
Answer: KCaAgTe2

Please write out number 2 again, unchanged.
The following is a PBE calculation of a relaxed structure of Cs2Pa3InSe8, from Alexandria via LeMat-Bulk.

Output
The value obtained for the calculated total energy is -78.31 eV/cell. As for the total magnetization: 2.03 μB/f.u. For the uncorrected formation energy, the calculation gives -17.5 eV per formula unit. The space group is R3m, No. 160. For the density of states at the Fermi level, the calculation gives 12.65 states/eV/f.u.

Cell and atoms, written as POSCAR:
```
Cs2Pa3InSe8
1.0
8.499 0.000 0.000
4.249 7.360 0.000
4.249 2.453 8.860
Cs In Se Pa
2 1 8 3
Direct
0.496 0.496 0.511
0.139 0.139 0.583
0.888 0.888 0.336
0.694 0.234 0.837
0.234 0.234 0.837
0.762 0.762 0.182
0.762 0.295 0.182
0.273 0.273 0.181
0.234 0.694 0.837
0.295 0.762 0.182
0.722 0.722 0.834
0.998 0.498 0.006
0.498 0.998 0.006
0.498 0.498 0.006
```